(1)
A plane-wave DFT calculation with PBE was carried out for crystalline Rb3HI at its relaxed geometry.

Calculated values
Mass density   2.83 Mg/m³
Polymorph energy (0 for the lowest one)   0 meV/atom
Calculated total energy   -10.23 eV/cell
N(E_F)   2.3 states/eV/f.u.
Volume   45.2 Å³ per atom

abc: 6.0893 6.0893 6.0893
angles: 90.00 90.00 90.00
Space group Pm-3m (No. 221)
Unique sites:
Rb (0.0000, 0.0000, 0.5000) [3 per cell]
H (0.0000, 0.0000, 0.0000) [1 per cell]
I (0.5000, 0.5000, 0.5000) [1 per cell]

=====

(2)
A plane-wave DFT calculation with PBE was carried out for crystalline PmNdAlAg at its relaxed geometry.

Calculated values
Mass density   6.80 Mg/m³
Polymorph energy (0 for the lowest one)   0 meV/atom
Calculated total energy   -17.38 eV/cell
N(E_F)   4.1 states/eV/f.u.
Volume   25.9 Å³ per atom

abc: 3.6485 3.6485 7.7842
angles: 90.00 90.00 90.00
Space group P4mm (No. 99)
Unique sites:
Pm (0.0000, 0.0000, 0.0000) [1 per cell]
Nd (0.0000, 0.0000, 0.4924) [1 per cell]
Al (0.5000, 0.5000, 0.2441) [1 per cell]
Ag (0.5000, 0.5000, 0.7522) [1 per cell]

=====

(3)
A plane-wave DFT calculation with PBE was carried out for crystalline Zr2BrCl at its relaxed geometry.

Calculated values
Mass density   6.08 Mg/m³
Polymorph energy (0 for the lowest one)   623 meV/atom
Calculated total energy   -67.98 eV/cell
Energy relative to the elements, uncorrected   -49.3 kJ per mole of atoms
N(E_F)   4.0 states/eV/f.u.
Volume   20.3 Å³ per atom

abc: 3.2419 3.2419 26.8198
angles: 90.00 90.00 120.00
Space group R-3m (No. 166, hexagonal axes)
Unique sites:
Zr (0.0000, 0.0000, 0.2479) [6 per cell]
Br (0.0000, 0.0000, 0.0000) [3 per cell]
Cl (0.0000, 0.0000, 0.5000) [3 per cell]

=====

(4)
A plane-wave DFT calculation with PBE was carried out for crystalline Er5Tm3Co2 at its relaxed geometry.

Calculated values
Mass density   8.81 Mg/m³
Calculated total energy   -203.73 eV/cell
N(E_F)   11.5 states/eV/f.u.
Volume   27.5 Å³ per atom

abc: 10.0365 14.5255 7.5568
angles: 90.00 90.00 90.00
Space group Ibam (No. 72)
Unique sites:
Er (0.0000, 0.0000, 0.2500) [4 per cell]
Er (0.0000, 0.2462, 0.2500) [8 per cell]
Er (0.2436, 0.1234, 0.0000) [8 per cell]
Tm (0.0000, 0.5000, 0.2500) [4 per cell]
Tm (0.2434, 0.1239, 0.5000) [8 per cell]
Co (0.0003, 0.3703, 0.0000) [8 per cell]

=====

(5)
A plane-wave DFT calculation with PBE was carried out for crystalline Ca3Mg7Ir4 at its relaxed geometry.

Calculated values
Mass density   5.95 Mg/m³
Calculated total energy   -114.17 eV/cell
N(E_F)   4.0 states/eV/f.u.
Volume   21.1 Å³ per atom

abc: 16.1692 4.3450 10.3499
angles: 90.00 125.66 90.00
Space group C2/m (No. 12)
Unique sites:
Ca (0.0000, 0.0000, 0.0000) [2 per cell]
Ca (0.1934, 0.5000, 0.7108) [4 per cell]
Mg (0.0000, 0.0000, 0.5000) [2 per cell]
Mg (0.0122, 0.5000, 0.2760) [4 per cell]
Mg (0.1698, 0.0000, 0.4200) [4 per cell]
Mg (0.1866, 0.5000, 0.0189) [4 per cell]
Ir (0.1032, 0.0000, 0.8126) [4 per cell]
Ir (0.1713, 0.5000, 0.2674) [4 per cell]

=====

(6)
A plane-wave DFT calculation with PBE was carried out for crystalline CrNi2SnH at its relaxed geometry.

Calculated values
Mass density   8.34 Mg/m³
Calculated total energy   -28.75 eV/cell
N(E_F)   3.6 states/eV/f.u.
Volume   11.5 Å³ per atom

abc: 3.8775 3.8775 3.8295
angles: 90.00 90.00 90.00
Space group P4/mmm (No. 123)
Unique sites:
Cr (0.0000, 0.0000, 0.0000) [1 per cell]
Ni (0.0000, 0.5000, 0.5000) [2 per cell]
Sn (0.5000, 0.5000, 0.0000) [1 per cell]
H (0.0000, 0.0000, 0.5000) [1 per cell]

=====

(7)
A plane-wave DFT calculation with PBE was carried out for crystalline KAsW2 at its relaxed geometry.

Calculated values
Mass density   10.99 Mg/m³
Calculated total energy   -106.39 eV/cell
N(E_F)   3.5 states/eV/f.u.
Volume   18.2 Å³ per atom

abc: 6.6286 6.6286 6.6286
angles: 90.00 90.00 90.00
Space group F-43m (No. 216)
Unique sites:
K (0.0000, 0.0000, 0.0000) [4 per cell]
As (0.2500, 0.2500, 0.7500) [4 per cell]
W (0.0000, 0.0000, 0.5000) [4 per cell]
W (0.2500, 0.2500, 0.2500) [4 per cell]

=====

(8)
A plane-wave DFT calculation with PBE was carried out for crystalline ReOs3Ru at its relaxed geometry.

Calculated values
Mass density   14.82 Mg/m³
Polymorph energy (0 for the lowest one)   2558 meV/atom
Calculated total energy   -41.72 eV/cell
N(E_F)   8.3 states/eV/f.u.
Volume   19.2 Å³ per atom

abc: 4.5807 4.5807 4.5807
angles: 90.00 90.00 90.00
Space group Pm-3m (No. 221)
Unique sites:
Re (0.0000, 0.0000, 0.0000) [1 per cell]
Os (0.0000, 0.5000, 0.5000) [3 per cell]
Ru (0.5000, 0.5000, 0.5000) [1 per cell]

=====

Q: The lowest mass density belongs to which entry?
A: Rb3HI

=====

Q: What is the formula in the second record?
A: PmNdAlAg

=====

Q: What is the mass density in the third record?
A: 6.08 Mg/m³

=====

Q: What is the formula in the third record?
A: Zr2BrCl